Compound: Pm2CoIr
Source: Alexandria via LeMat-Bulk
Functional: PBE
Structure: optimized geometry

Density in Mg/m³: 10.562
Space group: Fm-3m, No. 225
Total magnetization in μB per cell: 0.58
Total energy in eV per atom: -6.690
Energy of formation from the pure elements in kJ/mol of formula units: -125

Unit cell a=4.9369 b=4.9369 c=4.9369 alpha=60.00 beta=60.00 gamma=60.00
Positions (direct):
Pm  0.7500  0.7500  0.7500
Pm  0.2500  0.2500  0.2500
Co  0.0000  0.0000  0.0000
Ir  0.5000  0.5000  0.5000

---

Compound: In2SbS4
Source: Alexandria via LeMat-Bulk
Functional: PBE
Structure: optimized geometry

Density in Mg/m³: 4.999
Space group: Cmcm, No. 63
Total magnetization in μB per cell: 0.00
Total energy in eV per atom: -4.079
Formation energy without anion corrections in eV per atom: -0.35

Unit cell a=3.8189 b=6.6344 c=13.1339 alpha=90.00 beta=90.00 gamma=106.73
Positions (direct):
S  0.5000  0.0000  0.5000
S  0.9636  0.9273  0.7500
S  0.2329  0.4657  0.6206
S  0.7671  0.5343  0.3794
S  0.7671  0.5343  0.1206
S  0.5000  0.0000  0.0000
S  0.2329  0.4657  0.8794
S  0.0364  0.0727  0.2500
In  0.1373  0.2747  0.4402
In  0.8627  0.7253  0.5598
In  0.8627  0.7253  0.9402
In  0.1373  0.2747  0.0598
Sb  0.6035  0.2070  0.7500
Sb  0.3965  0.7930  0.2500

---

Compound: MgTaCl2
Source: Alexandria via LeMat-Bulk
Functional: PBE
Structure: optimized geometry

Density in Mg/m³: 5.828
Space group: I-4m2, No. 119
Total magnetization in μB per cell: 0.81
Total energy in eV per atom: -4.048
Formation energy without anion corrections in eV per atom: 0.24

Unit cell a=6.5458 b=6.5458 c=6.5458 alpha=147.95 beta=147.95 gamma=45.95
Positions (direct):
Ta  0.7500  0.2500  0.5000
Mg  0.5000  0.5000  0.0000
Cl  0.2500  0.7500  0.5000
Cl  0.0000  0.0000  0.0000